1.
First-principles (GGA-PBE) data for a relaxed structure of NaTcTeI2, as listed in Alexandria.

POSCAR file:
```
NaTcTeI2
1.0
5.638 0.000 0.000
0.000 5.638 0.000
0.000 0.000 5.811
I Na Te Tc
2 1 1 1
Direct
0.000 0.500 0.000 I
0.500 0.000 0.000 I
0.000 0.000 0.000 Na
0.000 0.000 0.500 Te
0.500 0.500 0.500 Tc
```

* SG: P4/mmm, No. 123
* formation energy (no corrections): 886.9 meV per atom
* total magnetization: 4.1 μB/cell

---

2.
First-principles (GGA-PBE) data for a relaxed structure of LaPr2Sm6Y, as listed in Alexandria.

POSCAR file:
```
LaPr2Sm6Y
1.0
9.433 -2.230 -2.308
0.762 8.706 -2.105
0.769 -2.427 8.620
La Pr Sm Y
2 4 12 2
Direct
0.250 0.404 0.596 La
0.750 0.596 0.404 La
0.459 0.812 0.708 Pr
0.041 0.293 0.188 Pr
0.541 0.188 0.292 Pr
0.959 0.707 0.812 Pr
0.056 0.123 0.749 Sm
0.444 0.251 0.877 Sm
0.944 0.877 0.251 Sm
0.556 0.749 0.123 Sm
0.316 0.970 0.421 Sm
0.184 0.579 0.029 Sm
0.684 0.030 0.579 Sm
0.816 0.421 0.971 Sm
0.122 0.709 0.502 Sm
0.378 0.498 0.292 Sm
0.878 0.291 0.498 Sm
0.622 0.502 0.708 Sm
0.249 0.981 0.020 Y
0.751 0.019 0.980 Y
```

* SG: P-1, No. 2
* total DFT energy (no corrections): -4.81 eV per atom
* total magnetization: 0.0 μB/cell

---

3.
First-principles (GGA-PBE) data for a relaxed structure of PuUSb2N, as listed in Alexandria.

POSCAR file:
```
PuUSb2N
1.0
3.895 0.000 0.000
0.000 3.895 0.000
0.000 0.000 16.843
Pu U Sb N
2 2 4 2
Direct
0.500 0.000 0.144 Pu
0.000 0.500 0.856 Pu
0.500 0.000 0.568 U
0.000 0.500 0.432 U
0.000 0.500 0.671 Sb
0.000 0.500 0.057 Sb
0.500 0.000 0.943 Sb
0.500 0.000 0.329 Sb
0.000 0.000 0.500 N
0.500 0.500 0.500 N
```

* SG: P4/nmm, No. 129
* formation energy (no corrections): -625.7 meV per atom
* total magnetization: 12.7 μB/cell

---

4.
First-principles (GGA-PBE) data for a relaxed structure of Ac16Pr7Sm6, as listed in Alexandria.

POSCAR file:
```
Ac16Pr7Sm6
1.0
-10.788 4.948 2.157
-8.648 -6.484 5.358
-3.314 2.548 11.316
Ac Pr Sm
16 7 6
Direct
0.875 0.875 0.374 Ac
0.875 0.875 0.875 Ac
0.875 0.374 0.875 Ac
0.374 0.875 0.875 Ac
0.125 0.125 0.125 Ac
0.125 0.125 0.626 Ac
0.125 0.626 0.125 Ac
0.626 0.125 0.125 Ac
0.647 0.647 0.059 Ac
0.647 0.647 0.647 Ac
0.647 0.059 0.647 Ac
0.059 0.647 0.647 Ac
0.353 0.353 0.353 Ac
0.353 0.353 0.941 Ac
0.353 0.941 0.353 Ac
0.941 0.353 0.353 Ac
0.000 0.000 0.000 Pr
0.500 0.000 0.500 Pr
0.000 0.500 0.000 Pr
0.000 0.500 0.500 Pr
0.500 0.000 0.000 Pr
0.000 0.000 0.500 Pr
0.500 0.500 0.000 Pr
0.258 0.742 0.258 Sm
0.742 0.258 0.742 Sm
0.742 0.258 0.258 Sm
0.258 0.742 0.742 Sm
0.742 0.742 0.258 Sm
0.258 0.258 0.742 Sm
```

* SG: Fm-3m, No. 225
* total DFT energy (no corrections): -4.19 eV per atom
* total magnetization: 0.0 μB/cell

---

Calculated values (states/eV/atom) of DOS(E_F) for the records, taken in order: 0.830 1.574 2.987 1.367.